Below is crystalline Nd3InAg3S8 at its relaxed geometry, with properties calculated at the GGA-PBE level.

Geometry as POSCAR:
```
Nd3InAg3S8
1.0
-5.532 3.430 5.065
0.087 -8.085 -1.146
5.791 3.881 3.697
S In Nd Ag
8 1 3 3
direct
0.246 0.492 0.254
0.774 0.018 0.746
0.226 0.982 0.254
0.760 0.520 0.256
0.754 0.508 0.746
0.240 0.480 0.744
0.756 0.982 0.254
0.244 0.018 0.746
0.000 0.000 0.500
0.000 0.500 0.500
0.500 0.000 0.500
0.500 0.500 0.500
0.000 0.500 0.000
0.500 0.500 0.000
0.000 0.000 0.000
```

Uncorrected formation energy in eV/atom: -1.029
SG: No. 12

=====

Below is crystalline Pr3NdPd12 at its relaxed geometry, with properties calculated at the GGA-PBE level.

Geometry as POSCAR:
```
Pr3NdPd12
1.0
-0.221 0.763 4.133
4.096 -0.889 0.383
3.792 16.263 -2.801
Pd Nd Pr
12 1 3
direct
0.500 0.000 0.876
0.500 0.500 0.750
0.000 0.500 0.625
0.000 0.500 0.124
0.500 0.000 0.124
0.000 0.500 0.375
0.500 0.000 0.625
0.500 0.500 0.250
0.500 0.000 0.375
0.000 0.500 0.876
0.500 0.500 0.500
0.500 0.500 0.000
0.000 0.000 0.000
0.000 0.000 0.500
0.000 0.000 0.751
0.000 0.000 0.249
```

DFT formation energy in eV/atom: -0.75
SG: No. 123

=====

Below is crystalline Dy8Y4Tm at its relaxed geometry, with properties calculated at the GGA-PBE level.

Geometry as POSCAR:
```
Dy8Y4Tm
1.0
6.407 -0.001 -3.456
-4.137 5.992 -0.001
1.223 0.845 9.933
Dy Y Tm
8 4 1
direct
0.948 0.750 0.697
0.500 0.250 0.302
0.430 0.215 0.645
0.570 0.785 0.355
0.500 0.750 0.698
0.052 0.803 0.303
0.948 0.197 0.697
0.052 0.250 0.303
0.500 0.500 0.000
0.000 0.000 0.000
0.000 0.500 0.000
0.500 0.000 0.000
0.000 0.500 0.500
```

DFT formation energy in eV/atom: 0.22
SG: No. 166

=====

no.,M_tot (μB per cell),calculated total energy (eV/atom)
1,0.00,-4.937
2,0.00,-5.835
3,0.00,-4.947